(1)
Here is a relaxed structure of MgNbFeSb2 from Alexandria. Energies are from PBE-GGA.

## Properties
Its total energy is -4.69 eV/atom. As for the spin magnetization: 3.61 μB/cell. The volume is 148 Å³/f.u. As for the formation energy without anion corrections: 0.9873 eV/atom. Its density of states at the Fermi level is 9.1 states/eV per cell. As for the calculated density: 4.66 g/cm³.

Lattice parameters (Å, degrees): 5.286 5.286 5.308 90.00 90.00 90.00
Space group P4/mmm (No. 123)
Unique sites:
Mg 0.000 0.000 0.000 [1 per cell]
Nb 0.000 0.000 0.500 [1 per cell]
Fe 0.500 0.500 0.000 [1 per cell]
Sb 0.000 0.500 0.500 [2 per cell]

***

(2)
Here is a relaxed structure of LiPbI2O from Alexandria. Energies are from PBE-GGA.

## Properties
Its total energy is -3.15 eV/atom. As for the spin magnetization: 1.13 μB/cell. The volume is 129 Å³/f.u. As for the formation energy without anion corrections: -0.4180 eV/atom. Its density of states at the Fermi level is 3.3 states/eV per cell. As for the calculated density: 6.23 g/cm³.

Lattice parameters (Å, degrees): 5.713 5.713 3.949 90.00 90.00 90.00
Space group P4/mmm (No. 123)
Unique sites:
Li 0.000 0.000 0.000 [1 per cell]
Pb 0.500 0.500 0.500 [1 per cell]
I 0.000 0.500 0.000 [2 per cell]
O 0.000 0.000 0.500 [1 per cell]

***

(3)
Here is a relaxed structure of ScAsPb2 from Alexandria. Energies are from PBE-GGA.

## Properties
Its total energy is -4.76 eV/atom. As for the spin magnetization: 0.00 μB/cell. The volume is 100 Å³/f.u. For the formation energy, the calculation gives -0.163 eV per atom. Its density of states at the Fermi level is 4.1 states/eV per cell. As for the calculated density: 8.87 g/cm³.

Lattice parameters (Å, degrees): 4.422 4.422 10.226 90.00 90.00 90.00
Space group I-4m2 (No. 119)
Unique sites:
Sc 0.000 0.000 0.000 [2 per cell]
As 0.000 0.500 0.750 [2 per cell]
Pb 0.000 0.000 0.500 [2 per cell]
Pb 0.000 0.500 0.250 [2 per cell]

***

(4)
Here is a relaxed structure of Pm4Te4H from Alexandria. Energies are from PBE-GGA.

## Properties
Its total energy is -5.17 eV/atom. As for the spin magnetization: 0.00 μB/cell. The volume is 254 Å³/f.u. Its density of states at the Fermi level is 12.3 states/eV per cell. As for the calculated density: 7.15 g/cm³.

Lattice parameters (Å, degrees): 9.004 9.004 6.254 90.00 90.00 90.00
Space group P4_2/nmc (No. 137, origin choice 2)
Unique sites:
Pm 0.037 0.750 0.024 [8 per cell]
Te 0.029 0.250 0.473 [8 per cell]
H 0.250 0.750 0.250 [2 per cell]

***

(5)
Here is a relaxed structure of Nd8Er3Sc from Alexandria. Energies are from PBE-GGA.

## Properties
Its total energy is -4.29 eV/atom. As for the spin magnetization: 0.02 μB/cell. The volume is 440 Å³/f.u. For the formation energy, the calculation gives 0.558 eV per atom. Its density of states at the Fermi level is 39.3 states/eV per cell. As for the calculated density: 6.42 g/cm³.

Lattice parameters (Å, degrees): 8.687 8.687 11.650 90.00 90.00 90.00
Space group I-42m (No. 121)
Unique sites:
Nd 0.127 0.127 0.242 [8 per cell]
Nd 0.239 0.239 0.980 [8 per cell]
Er 0.000 0.000 0.500 [2 per cell]
Er 0.000 0.500 0.250 [4 per cell]
Sc 0.000 0.000 0.000 [2 per cell]

***

(6)
Here is a relaxed structure of Ba14Na6Ir3 from Alexandria. Energies are from PBE-GGA.

## Properties
Its total energy is -2.71 eV/atom. As for the spin magnetization: 0.00 μB/cell. The volume is 1170 Å³/f.u. For the formation energy, the calculation gives -0.042 eV per atom. Its density of states at the Fermi level is 16.2 states/eV per cell. As for the calculated density: 3.74 g/cm³.

Lattice parameters (Å, degrees): 8.052 12.951 12.951 60.01 90.00 90.00
Space group P1 (No. 1)
Unique sites:
Ba 0.000 0.000 0.000 [1 per cell]
Ba 0.000 0.000 0.335 [1 per cell]
Ba 0.000 0.665 0.336 [1 per cell]
Ba 0.269 0.339 0.675 [1 per cell]
Ba 0.269 0.340 0.322 [1 per cell]
Ba 0.269 0.986 0.674 [1 per cell]
Ba 0.329 0.555 0.890 [1 per cell]
Ba 0.547 0.112 0.112 [1 per cell]
Ba 0.547 0.776 0.112 [1 per cell]
Ba 0.547 0.777 0.447 [1 per cell]
Ba 0.779 0.438 0.125 [1 per cell]
Ba 0.779 0.438 0.773 [1 per cell]
Ba 0.779 0.789 0.773 [1 per cell]
Ba 0.815 0.221 0.557 [1 per cell]
Na 0.080 0.289 0.023 [1 per cell]
Na 0.080 0.688 0.023 [1 per cell]
Na 0.080 0.688 0.625 [1 per cell]
Na 0.562 0.089 0.821 [1 per cell]
Na 0.563 0.090 0.424 [1 per cell]
Na 0.563 0.486 0.426 [1 per cell]
Ir 0.446 0.222 0.557 [1 per cell]
Ir 0.774 0.888 0.224 [1 per cell]
Ir 0.963 0.555 0.891 [1 per cell]

***

(7)
Here is a relaxed structure of GaPd3Au4 from Alexandria. Energies are from PBE-GGA.

## Properties
Its total energy is -4.11 eV/atom. As for the spin magnetization: 0.00 μB/cell. The volume is 134 Å³/f.u. For the formation energy, the calculation gives -0.142 eV per atom. Its density of states at the Fermi level is 7.2 states/eV per cell. As for the calculated density: 14.61 g/cm³.

Lattice parameters (Å, degrees): 18.656 2.947 4.878 90.00 93.93 90.00
Space group C2/m (No. 12)
Unique sites:
Ga 0.000 0.000 0.000 [2 per cell]
Pd 0.000 0.500 0.500 [2 per cell]
Pd 0.250 0.000 0.751 [4 per cell]
Au 0.124 0.500 0.875 [4 per cell]
Au 0.126 0.000 0.373 [4 per cell]

***

(8)
Here is a relaxed structure of PrGaC from Alexandria. Energies are from PBE-GGA.

## Properties
Its total energy is -6.08 eV/atom. As for the spin magnetization: 0.00 μB/cell. The volume is 59 Å³/f.u. For the formation energy, the calculation gives -0.406 eV per atom. For the energy above the most stable polymorph in this dataset, the calculation gives 0.000 eV/atom. Its density of states at the Fermi level is 1.7 states/eV per cell. As for the calculated density: 6.22 g/cm³.

Lattice parameters (Å, degrees): 7.600 4.118 7.863 90.00 104.98 90.00
Space group C2/m (No. 12)
Unique sites:
Pr 0.084 0.000 0.303 [4 per cell]
Ga 0.166 0.500 0.015 [4 per cell]
C 0.087 0.500 0.540 [4 per cell]

***

(9)
Here is a relaxed structure of MnCuNi3 from Alexandria. Energies are from PBE-GGA.

## Properties
Its total energy is -5.11 eV/atom. As for the spin magnetization: 5.43 μB/cell. The volume is 78 Å³/f.u. For the formation energy, the calculation gives 1.009 eV per atom. For the energy above the most stable polymorph in this dataset, the calculation gives 1.009 eV/atom. Its density of states at the Fermi level is 5.3 states/eV per cell. As for the calculated density: 6.31 g/cm³.

Lattice parameters (Å, degrees): 4.264 4.264 4.264 90.00 90.00 90.00
Space group Pm-3m (No. 221)
Unique sites:
Mn 0.000 0.000 0.000 [1 per cell]
Cu 0.500 0.500 0.500 [1 per cell]
Ni 0.000 0.500 0.500 [3 per cell]

***

(10)
Here is a relaxed structure of Cs2DyInI6 from Alexandria. Energies are from PBE-GGA.

## Properties
Its total energy is -3.13 eV/atom. As for the spin magnetization: 0.00 μB/cell. The volume is 504 Å³/f.u. As for the formation energy without anion corrections: -1.2981 eV/atom. Its density of states at the Fermi level is 0.0 states/eV per cell. As for the calculated density: 4.29 g/cm³.

Lattice parameters (Å, degrees): 8.705 9.178 15.303 90.00 124.40 90.00
Space group P2_1/c (No. 14)
Unique sites:
Cs 0.226 0.073 0.251 [4 per cell]
Dy 0.500 0.000 0.000 [2 per cell]
In 0.000 0.000 0.500 [2 per cell]
I 0.172 0.183 0.959 [4 per cell]
I 0.279 0.720 0.959 [4 per cell]
I 0.350 0.014 0.766 [4 per cell]

***

(11)
Here is a relaxed structure of Nd3Al2Cu7 from Alexandria. Energies are from PBE-GGA.

## Properties
Its total energy is -4.27 eV/atom. As for the spin magnetization: 0.00 μB/cell. The volume is 231 Å³/f.u. For the formation energy, the calculation gives -0.062 eV per atom. Its density of states at the Fermi level is 19.9 states/eV per cell. As for the calculated density: 6.69 g/cm³.

Lattice parameters (Å, degrees): 4.253 4.253 25.577 90.00 90.00 90.00
Space group I4/mmm (No. 139)
Unique sites:
Nd 0.000 0.000 0.000 [2 per cell]
Nd 0.000 0.000 0.170 [4 per cell]
Al 0.000 0.000 0.381 [4 per cell]
Cu 0.000 0.000 0.283 [4 per cell]
Cu 0.000 0.000 0.500 [2 per cell]
Cu 0.000 0.500 0.075 [8 per cell]